1.
KAg8Pt4 after structural relaxation. Source: Alexandria, functional PBE.

a = 5.8400 Å, b = 5.8400 Å, c = 27.3052 Å
α = 90.00°, β = 90.00°, γ = 120.00°
Space group R-3m (No. 166, hexagonal axes)
Symmetry-distinct sites (fractional):
K  0.0000  0.0000  0.0000 (multiplicity 3)
Ag  0.0000  0.0000  0.2484 (multiplicity 6)
Ag  0.0017  0.5008  0.2434 (multiplicity 18)
Pt  0.0000  0.0000  0.5000 (multiplicity 3)
Pt  0.0000  0.5000  0.0000 (multiplicity 9)

Values from the calculation:
**Total energy**: -3.3470 eV per atom
**Calculated density**: 10392 kg/m³



2.
K2AgPt2 after structural relaxation. Source: Alexandria, functional PBE.

a = 6.930 Å, b = 6.930 Å, c = 5.232 Å
α = 90.00°, β = 90.00°, γ = 90.00°
Space group P4/mbm (No. 127)
Symmetry-distinct sites (fractional):
K  0.175  0.325  0.000 (multiplicity 4)
Ag  0.000  0.000  0.500 (multiplicity 2)
Pt  0.130  0.630  0.500 (multiplicity 4)

Values from the calculation:
**ΔE to the lowest computed polymorph**: 153 meV/atom
**Total energy**: -3.3640 eV per atom
**Calculated density**: 7617 kg/m³



3.
KAg2Pt after structural relaxation. Source: Alexandria, functional PBE.

a = 9.514 Å, b = 2.849 Å, c = 6.936 Å
α = 90.00°, β = 95.38°, γ = 90.00°
Space group Cm (No. 8)
Symmetry-distinct sites (fractional):
K  0.000  0.000  0.000 (multiplicity 2)
Ag  0.233  0.000  0.653 (multiplicity 2)
Ag  0.494  0.000  0.469 (multiplicity 2)
Pt  0.257  0.500  0.307 (multiplicity 2)

Values from the calculation:
**ΔE to the lowest computed polymorph**: 22 meV/atom
**Total energy**: -3.0532 eV per atom
**Calculated density**: 7981 kg/m³



4.
KAg6Pt2 after structural relaxation. Source: Alexandria, functional PBE.

a = 4.851 Å, b = 5.879 Å, c = 12.956 Å
α = 90.00°, β = 90.00°, γ = 90.00°
Space group Immm (No. 71)
Symmetry-distinct sites (fractional):
K  0.000  0.000  0.000 (multiplicity 2)
Ag  0.000  0.219  0.500 (multiplicity 4)
Ag  0.000  0.243  0.294 (multiplicity 8)
Pt  0.000  0.500  0.106 (multiplicity 4)

Values from the calculation:
**Total energy**: -3.1365 eV per atom
**Calculated density**: 9675 kg/m³



5.
K2AgPt3 after structural relaxation. Source: Alexandria, functional PBE.

a = 9.542 Å, b = 5.522 Å, c = 5.740 Å
α = 90.00°, β = 123.68°, γ = 90.00°
Space group C2/m (No. 12)
Symmetry-distinct sites (fractional):
K  0.125  0.000  0.375 (multiplicity 4)
Ag  0.000  0.500  0.500 (multiplicity 2)
Pt  0.000  0.500  0.000 (multiplicity 2)
Pt  0.250  0.250  0.000 (multiplicity 4)

Values from the calculation:
**Total energy**: -4.0167 eV per atom
**Calculated density**: 10179 kg/m³



6.
KAg2Pt after structural relaxation. Source: Alexandria, functional PBE.

a = 6.288 Å, b = 8.278 Å, c = 3.053 Å
α = 90.00°, β = 90.00°, γ = 90.00°
Space group Cmmm (No. 65)
Symmetry-distinct sites (fractional):
K  0.000  0.000  0.000 (multiplicity 2)
Ag  0.250  0.250  0.500 (multiplicity 4)
Pt  0.000  0.500  0.000 (multiplicity 2)

Values from the calculation:
**ΔE to the lowest computed polymorph**: 95 meV/atom
**Total energy**: -2.9802 eV per atom
**Calculated density**: 9404 kg/m³